No. 1
First-principles (GGA-PBE) data for a relaxed LaBeCr2 crystal, as listed in Alexandria.

Unit cell a=3.048 b=3.048 c=24.945 alpha=90.00 beta=90.00 gamma=120.00
Positions (direct):
La  0.000  0.000  0.000
La  0.333  0.667  0.667
La  0.667  0.333  0.333
Be  0.000  0.000  0.763
Be  0.333  0.667  0.429
Be  0.667  0.333  0.096
Cr  0.000  0.000  0.221
Cr  0.000  0.000  0.493
Cr  0.333  0.667  0.159
Cr  0.333  0.667  0.887
Cr  0.667  0.333  0.554
Cr  0.667  0.333  0.826

Computed properties:
N(E_F): 5.01 states/eV/f.u.
total magnetic moment: 0.9 μB per cell
calculated formation energy: 0.752 eV per atom



No. 2
First-principles (GGA-PBE) data for a relaxed LaBeCr crystal, as listed in Alexandria.

Unit cell a=3.284 b=3.284 c=10.377 alpha=90.00 beta=90.00 gamma=90.00
Positions (direct):
La  0.000  0.000  0.000
La  0.500  0.500  0.500
Be  0.000  0.000  0.289
Be  0.500  0.500  0.789
Cr  0.000  0.000  0.725
Cr  0.500  0.500  0.225

Computed properties:
relative energy among the computed polymorphs: 0.76 kcal/mol of atoms
N(E_F): 2.38 states/eV/f.u.
total magnetic moment: 4.7 μB per cell
calculated formation energy: 0.423 eV per atom



No. 3
First-principles (GGA-PBE) data for a relaxed LaBeCr2 crystal, as listed in Alexandria.

Unit cell a=4.083 b=4.083 c=15.771 alpha=90.00 beta=90.00 gamma=120.00
Positions (direct):
La  0.000  0.000  0.000
La  0.333  0.667  0.667
La  0.667  0.333  0.333
Be  0.000  0.000  0.189
Be  0.333  0.667  0.856
Be  0.667  0.333  0.523
Cr  0.000  0.000  0.495
Cr  0.000  0.000  0.807
Cr  0.333  0.667  0.162
Cr  0.333  0.667  0.474
Cr  0.667  0.333  0.141
Cr  0.667  0.333  0.828

Computed properties:
N(E_F): 5.76 states/eV/f.u.
total magnetic moment: 2.6 μB per cell
calculated formation energy: 0.309 eV per atom



No. 4
First-principles (GGA-PBE) data for a relaxed LaBeCr3 crystal, as listed in Alexandria.

Unit cell a=4.279 b=4.279 c=4.279 alpha=90.00 beta=90.00 gamma=90.00
Positions (direct):
La  0.000  0.000  0.000
Be  0.500  0.500  0.500
Cr  0.000  0.500  0.500
Cr  0.500  0.000  0.500
Cr  0.500  0.500  0.000

Computed properties:
relative energy among the computed polymorphs: 0.00 kcal/mol of atoms
N(E_F): 13.62 states/eV/f.u.
total magnetic moment: 0.0 μB per cell
calculated formation energy: 1.011 eV per atom



No. 5
First-principles (GGA-PBE) data for a relaxed LaBeCr2 crystal, as listed in Alexandria.

Unit cell a=3.162 b=3.162 c=6.545 alpha=90.00 beta=90.00 gamma=90.00
Positions (direct):
La  0.000  0.000  0.000
Be  0.000  0.000  0.500
Cr  0.500  0.500  0.356
Cr  0.500  0.500  0.644

Computed properties:
N(E_F): 3.04 states/eV/f.u.
total magnetic moment: 0.0 μB per cell
calculated formation energy: 0.378 eV per atom



No. 6
First-principles (GGA-PBE) data for a relaxed LaBeCr2 crystal, as listed in Alexandria.

Unit cell a=4.665 b=4.724 c=6.644 alpha=90.00 beta=90.00 gamma=90.00
Positions (direct):
La  0.000  0.000  0.000
La  0.500  0.500  0.500
Be  0.000  0.500  0.246
Be  0.500  0.000  0.746
Cr  0.000  0.000  0.500
Cr  0.000  0.500  0.755
Cr  0.500  0.000  0.255
Cr  0.500  0.500  0.000

Computed properties:
N(E_F): 2.61 states/eV/f.u.
total magnetic moment: 0.9 μB per cell
calculated formation energy: 0.526 eV per atom